# LiYZrCo, relaxed, DFT PBE-GGA
data_LiYZrCo
_space_group_name_H-M_alt 'F -4 3 m'
_space_group_IT_number 216
_space_group_name_Hall 'F -4 2 3'
_cell_length_a 6.678
_cell_length_b 6.678
_cell_length_c 6.678
_cell_angle_alpha 90.00
_cell_angle_beta 90.00
_cell_angle_gamma 90.00
loop_
_atom_site_label
_atom_site_type_symbol
_atom_site_fract_x
_atom_site_fract_y
_atom_site_fract_z
Li1 Li 0.000 0.000 0.000
Y1 Y 0.250 0.250 0.750
Zr1 Zr 0.250 0.250 0.250
Co1 Co 0.000 0.000 0.500
# Total moment, μB/cell: 0.00
# Formation energy from the elements, eV per atom: -0.002